A geometry-optimized PmTa2NiN4 structure, computed with PBE-GGA.

Results
Raw formation energy ... -0.9976 eV per atom
Total magnetic moment ... 0.000 μB/cell
Crystal system ... orthorhombic
Space-group type ... Cmcm (63)

```
16
Lattice="1.610 -5.304 0.000 1.610 5.304 0.000 0.000 0.000 10.826" Properties=species:S:1:pos:R:3 pbc="T T T"
Pm 1.610 4.157 8.120
Pm 1.610 -4.157 2.707
Ta 1.610 1.380 6.040
Ta 1.610 1.380 10.199
Ta 1.610 -1.380 0.627
Ta 1.610 -1.380 4.786
Ni 1.610 3.586 2.707
Ni 1.610 -3.586 8.120
N 0.000 0.000 0.000
N 0.000 0.000 5.413
N 1.610 2.423 1.159
N 1.610 2.423 4.254
N 1.610 0.566 8.120
N 1.610 -0.566 2.707
N 1.610 -2.423 6.572
N 1.610 -2.423 9.667
```



A geometry-optimized Rb2GaGeF6 structure, computed with PBE-GGA.

Results
Raw formation energy ... -2.3520 eV per atom
Total magnetic moment ... 0.000 μB/cell
Crystal system ... tetragonal
Space-group type ... I4/mmm (139)

```
10
Lattice="-3.120 3.120 4.404 3.120 -3.120 4.404 3.120 3.120 -4.404" Properties=species:S:1:pos:R:3 pbc="T T T"
Rb 3.120 0.000 2.202
Rb 0.000 3.120 2.202
Ga 0.000 0.000 0.000
Ge 0.000 0.000 4.404
F 0.000 0.000 2.156
F 1.529 1.529 0.000
F 1.591 -1.591 4.404
F -1.591 1.591 4.404
F 0.000 0.000 6.653
F 1.591 1.591 4.404
```



A geometry-optimized CaGe3Pt5 structure, computed with PBE-GGA.

Results
Total magnetic moment ... 0.000 μB/cell
Crystal system ... orthorhombic
Space-group type ... Cmcm (63)
Energy relative to the elements ... -587 meV per atom

```
18
Lattice="1.959 -6.537 0.000 1.959 6.537 0.000 0.000 0.000 13.157" Properties=species:S:1:pos:R:3 pbc="T T T"
Ca 1.959 4.722 9.867
Ca 1.959 -4.722 3.289
Ge 1.959 5.013 3.289
Ge 1.959 1.576 0.520
Ge 1.959 1.576 6.058
Ge 1.959 -1.576 7.098
Ge 1.959 -1.576 12.637
Ge 1.959 -5.013 9.867
Pt 0.000 0.000 0.000
Pt 0.000 0.000 6.578
Pt 1.959 3.902 1.030
Pt 1.959 3.902 5.548
Pt 1.959 0.551 8.512
Pt 1.959 0.551 11.223
Pt 1.959 -0.551 1.933
Pt 1.959 -0.551 4.645
Pt 1.959 -3.902 7.608
Pt 1.959 -3.902 12.127
```



A geometry-optimized InIr2Br structure, computed with PBE-GGA.

Results
Raw formation energy ... 0.5731 eV per atom
Energy above the most stable polymorph in this dataset ... 281 meV/atom
Total magnetic moment ... 0.000 μB/cell
Crystal system ... trigonal
Space-group type ... R-3m (166)

```
4
Lattice="1.538 0.888 8.573 -1.538 0.888 8.573 0.000 -1.776 8.573" Properties=species:S:1:pos:R:3 pbc="T T T"
In 0.000 0.000 0.000
Ir 0.000 0.000 6.437
Ir 0.000 0.000 19.283
Br 0.000 0.000 12.860
```



A geometry-optimized Na2ScRe3O12 structure, computed with PBE-GGA.

Results
Raw formation energy ... -1.8295 eV per atom
Total magnetic moment ... 0.655 μB/cell
Crystal system ... trigonal
Space-group type ... R-3m (166)

```
18
Lattice="3.680 2.125 6.107 -3.680 2.125 6.107 0.000 -4.249 6.107" Properties=species:S:1:pos:R:3 pbc="T T T"
Na 0.000 0.000 3.653
Na 0.000 0.000 14.667
Sc 0.000 0.000 9.160
Re -1.840 -1.062 6.107
Re -1.840 1.062 12.213
Re 0.000 2.125 6.107
O -1.473 -0.850 7.913
O 0.000 -1.566 5.778
O -1.356 0.783 5.778
O 0.000 -1.701 10.407
O -1.473 0.850 10.407
O -1.356 -0.783 12.542
O 1.356 0.783 5.778
O 1.473 -0.850 7.913
O 0.000 1.701 7.913
O 1.356 -0.783 12.542
O 0.000 1.566 12.542
O 1.473 0.850 10.407
```